1.
# GGA-PBE CaCdGe3, optimized geometry
# Fermi-level density of states = 3.689 states/eV per cell
# formation energy from the elements = 0.3946 eV per atom
# polymorph energy (0 for the lowest one) = 0 meV per atom
data_CaCdGe3
_symmetry_space_group_name_H-M 'P m -3 m'
_symmetry_Int_Tables_number 221
_symmetry_space_group_name_Hall '-P 4 2 3'
_cell_length_a 5.198
_cell_length_b 5.198
_cell_length_c 5.198
_cell_angle_alpha 90.00
_cell_angle_beta 90.00
_cell_angle_gamma 90.00
loop_
_atom_site_label
_atom_site_type_symbol
_atom_site_fract_x
_atom_site_fract_y
_atom_site_fract_z
Ca1 Ca 0.000 0.000 0.000
Cd1 Cd 0.500 0.500 0.500
Ge1 Ge 0.000 0.500 0.500

---

2.
# GGA-PBE CaCdGe, optimized geometry
# Fermi-level density of states = 2.464 states/eV per cell
# formation energy from the elements = -0.3375 eV per atom
data_CaCdGe
_symmetry_space_group_name_H-M 'P m m a'
_symmetry_Int_Tables_number 51
_cell_length_a 4.648
_cell_length_b 4.119
_cell_length_c 7.977
_cell_angle_alpha 90.00
_cell_angle_beta 90.00
_cell_angle_gamma 90.00
loop_
_symmetry_equiv_pos_as_xyz
'x,y,z'
'-x,-y,-z'
'-x+1/2,-y,z'
'x+1/2,y,-z'
'x+1/2,-y,-z'
'-x+1/2,y,z'
'-x,y,-z'
'x,-y,z'
loop_
_atom_site_label
_atom_site_type_symbol
_atom_site_fract_x
_atom_site_fract_y
_atom_site_fract_z
Ca1 Ca 0.250 0.000 0.217
Cd1 Cd 0.250 0.500 0.591
Ge1 Ge 0.250 0.500 0.927

---

3.
# GGA-PBE Ca2CdGeH, optimized geometry
# final energy = -14.72 eV per cell
# Fermi-level density of states = 1.261 states/eV per cell
data_Ca2CdGeH
_symmetry_space_group_name_H-M 'P 4/m m m'
_symmetry_Int_Tables_number 123
_symmetry_space_group_name_Hall '-P 4 2'
_cell_length_a 4.775
_cell_length_b 4.775
_cell_length_c 4.443
_cell_angle_alpha 90.00
_cell_angle_beta 90.00
_cell_angle_gamma 90.00
loop_
_atom_site_label
_atom_site_type_symbol
_atom_site_fract_x
_atom_site_fract_y
_atom_site_fract_z
Ca1 Ca 0.000 0.500 0.000
Cd1 Cd 0.000 0.000 0.500
Ge1 Ge 0.500 0.500 0.500
H1 H 0.000 0.000 0.000

---

4.
# GGA-PBE CaHoCdGe, optimized geometry
# Fermi-level density of states = 13.528 states/eV per cell
# formation energy from the elements = -0.4353 eV per atom
data_CaHoCdGe
_symmetry_space_group_name_H-M 'F -4 3 m'
_symmetry_Int_Tables_number 216
_symmetry_space_group_name_Hall 'F -4 2 3'
_cell_length_a 7.342
_cell_length_b 7.342
_cell_length_c 7.342
_cell_angle_alpha 90.00
_cell_angle_beta 90.00
_cell_angle_gamma 90.00
loop_
_atom_site_label
_atom_site_type_symbol
_atom_site_fract_x
_atom_site_fract_y
_atom_site_fract_z
Ca1 Ca 0.000 0.000 0.000
Ho1 Ho 0.000 0.000 0.500
Cd1 Cd 0.250 0.250 0.250
Ge1 Ge 0.250 0.250 0.750

---

5.
# GGA-PBE CaCdInGe, optimized geometry
# Fermi-level density of states = 15.222 states/eV per cell
# formation energy from the elements = -0.1680 eV per atom
data_CaCdInGe
_symmetry_space_group_name_H-M 'F -4 3 m'
_symmetry_Int_Tables_number 216
_symmetry_space_group_name_Hall 'F -4 2 3'
_cell_length_a 7.324
_cell_length_b 7.324
_cell_length_c 7.324
_cell_angle_alpha 90.00
_cell_angle_beta 90.00
_cell_angle_gamma 90.00
loop_
_atom_site_label
_atom_site_type_symbol
_atom_site_fract_x
_atom_site_fract_y
_atom_site_fract_z
Ca1 Ca 0.000 0.000 0.000
Cd1 Cd 0.250 0.250 0.250
In1 In 0.000 0.000 0.500
Ge1 Ge 0.250 0.250 0.750

---

6.
# GGA-PBE Ca2CdGeIr, optimized geometry
# Fermi-level density of states = 1.698 states/eV per cell
# formation energy from the elements = -0.3461 eV per atom
data_Ca2CdGeIr
_symmetry_space_group_name_H-M 'P 4/m m m'
_symmetry_Int_Tables_number 123
_symmetry_space_group_name_Hall '-P 4 2'
_cell_length_a 5.572
_cell_length_b 5.572
_cell_length_c 4.688
_cell_angle_alpha 90.00
_cell_angle_beta 90.00
_cell_angle_gamma 90.00
loop_
_atom_site_label
_atom_site_type_symbol
_atom_site_fract_x
_atom_site_fract_y
_atom_site_fract_z
Ca1 Ca 0.000 0.500 0.000
Cd1 Cd 0.000 0.000 0.500
Ge1 Ge 0.500 0.500 0.500
Ir1 Ir 0.500 0.500 0.000

---

7.
# GGA-PBE Ca2CdGe4Ir3, optimized geometry
# Fermi-level density of states = 5.594 states/eV per cell
# formation energy from the elements = -0.4653 eV per atom
data_Ca2CdGe4Ir3
_symmetry_space_group_name_H-M 'P -4 m 2'
_symmetry_Int_Tables_number 115
_cell_length_a 4.299
_cell_length_b 4.299
_cell_length_c 10.509
_cell_angle_alpha 90.00
_cell_angle_beta 90.00
_cell_angle_gamma 90.00
loop_
_symmetry_equiv_pos_as_xyz
'x,y,z'
'y,-x,-z'
'-x,-y,z'
'-y,x,-z'
'-x,y,z'
'-y,-x,-z'
'x,-y,z'
'y,x,-z'
loop_
_atom_site_label
_atom_site_type_symbol
_atom_site_fract_x
_atom_site_fract_y
_atom_site_fract_z
Ca1 Ca 0.000 0.500 0.239
Cd1 Cd 0.000 0.000 0.500
Ge1 Ge 0.000 0.000 0.000
Ge2 Ge 0.000 0.500 0.646
Ge3 Ge 0.500 0.500 0.000
Ir1 Ir 0.000 0.500 0.879
Ir2 Ir 0.500 0.500 0.500

---

8.
# GGA-PBE LiCaCdGe, optimized geometry
# Fermi-level density of states = 10.336 states/eV per cell
# formation energy from the elements = -0.3253 eV per atom
data_LiCaCdGe
_symmetry_space_group_name_H-M 'F -4 3 m'
_symmetry_Int_Tables_number 216
_symmetry_space_group_name_Hall 'F -4 2 3'
_cell_length_a 7.038
_cell_length_b 7.038
_cell_length_c 7.038
_cell_angle_alpha 90.00
_cell_angle_beta 90.00
_cell_angle_gamma 90.00
loop_
_atom_site_label
_atom_site_type_symbol
_atom_site_fract_x
_atom_site_fract_y
_atom_site_fract_z
Li1 Li 0.000 0.000 0.000
Ca1 Ca 0.000 0.000 0.500
Cd1 Cd 0.250 0.250 0.250
Ge1 Ge 0.250 0.250 0.750